# ErTm2Se

ErTm2Se after structural relaxation (PBE, Alexandria via LeMat-Bulk).

The size of the total moment is 0.00 μB per cell. The energy relative to the elements, uncorrected is -258 kJ/mol of formula units.

The space group is P4/mmm (No. 123) and the conventional cell measures 3.552, 3.552 and 8.427 Å, with angles of 90.00, 90.00 and 90.00 degrees. The inequivalent atoms are Er at (0.000, 0.000, 0.000), Tm at (0.500, 0.500, 0.289) and Se at (0.000, 0.000, 0.500).



# Pu2AlC

Pu2AlC after structural relaxation (PBE, Alexandria via LeMat-Bulk).

The size of the total moment is 31.83 μB per cell. Its total DFT energy (no corrections) is -10.347 eV per atom.

The space group is R-3m (No. 166, hexagonal axes) and the conventional cell measures 3.3173, 3.3173 and 25.4339 Å, with angles of 90.00, 90.00 and 120.00 degrees. The inequivalent atoms are Pu at (0.0000, 0.0000, 0.2251), Al at (0.0000, 0.0000, 0.0000) and C at (0.0000, 0.0000, 0.5000).



# SrInGaIr

SrInGaIr after structural relaxation (PBE, Alexandria via LeMat-Bulk).

The size of the total moment is 0.00 μB per cell. Its total DFT energy (no corrections) is -4.511 eV per atom.

The space group is R3m (No. 160, hexagonal axes) and the conventional cell measures 4.4525, 4.4525 and 17.2533 Å, with angles of 90.00, 90.00 and 120.00 degrees. The inequivalent atoms are Sr at (0.0000, 0.0000, 0.0000), In at (0.0000, 0.0000, 0.1995), Ga at (0.0000, 0.0000, 0.4523) and Ir at (0.0000, 0.0000, 0.8010).